DFT (SCAN) results for Li2MnP at its PBEsol-relaxed geometry.

The mass density is 3.11 g/cm3. For the total moment, the calculation gives 3.92 μB/f.u. The energy is -33.597 eV per formula unit. As for the symmetry: R-3m. As for the energy of formation: -41 meV per atom.

Cell: 2.664 2.664 8.817 Å, 81.31 81.31 60.00°
Site moments in Bohr magnetons follow the coordinates.
Element x y z (fractional)
1 Li 0.743 0.743 0.770  -0.01
2 Mn 0.500 0.500 0.500  3.83
3 P 0.000 0.000 0.000  0.01
4 Li 0.257 0.257 0.230  -0.01